(1)
Computed, not measured: a PBEsol-optimized structure of La2TlAu at the meta-GGA SCAN level of DFT.

```
data_La2TlAu
_chemical_formula_sum 'La2 Tl1 Au1'
_symmetry_space_group_name_H-M 'P 1'
_symmetry_Int_Tables_number 1
_cell_length_a 5.2299
_cell_length_b 5.2299
_cell_length_c 5.2299
_cell_angle_alpha 60.00
_cell_angle_beta 60.00
_cell_angle_gamma 60.00
loop_
_symmetry_equiv_pos_as_xyz
'x,y,z'
loop_
_atom_site_label
_atom_site_type_symbol
_atom_site_fract_x
_atom_site_fract_y
_atom_site_fract_z
Au1 Au 0.5000 0.5000 0.5000
La1 La 0.0000 0.0000 0.0000
La2 La 0.7500 0.7500 0.7500
Tl1 Tl 0.2500 0.2500 0.2500
```

Calculated values
ρ	11149	kg/m³
space-group type	F-43m (216)
DFT formation energy	-340	meV per atom


(2)
Computed, not measured: a PBEsol-optimized structure of La2TlAu2 at the meta-GGA SCAN level of DFT.

```
data_La2TlAu2
_chemical_formula_sum 'La2 Tl1 Au2'
_symmetry_space_group_name_H-M 'P 1'
_symmetry_Int_Tables_number 1
_cell_length_a 5.6772
_cell_length_b 5.9628
_cell_length_c 5.6772
_cell_angle_alpha 61.57
_cell_angle_beta 90.00
_cell_angle_gamma 118.43
loop_
_symmetry_equiv_pos_as_xyz
'x,y,z'
loop_
_atom_site_label
_atom_site_type_symbol
_atom_site_fract_x
_atom_site_fract_y
_atom_site_fract_z
Tl1 Tl 0.0000 0.0000 0.0000
Au1 Au 0.6455 0.2909 0.3545
Au2 Au 0.3545 0.7091 0.6455
La1 La 0.7500 0.5000 0.7500
La2 La 0.2500 0.5000 0.2500
```

Calculated values
ρ	10238	kg/m³
space-group type	I4/mmm (139)
DFT formation energy	-730	meV per atom


(3)
Computed, not measured: a PBEsol-optimized structure of LaW2Au at the meta-GGA SCAN level of DFT.

```
data_LaW2Au
_chemical_formula_sum 'La1 W2 Au1'
_symmetry_space_group_name_H-M 'P 1'
_symmetry_Int_Tables_number 1
_cell_length_a 3.3809
_cell_length_b 4.9253
_cell_length_c 5.6125
_cell_angle_alpha 116.03
_cell_angle_beta 107.53
_cell_angle_gamma 90.00
loop_
_symmetry_equiv_pos_as_xyz
'x,y,z'
loop_
_atom_site_label
_atom_site_type_symbol
_atom_site_fract_x
_atom_site_fract_y
_atom_site_fract_z
Au1 Au 0.4834 0.4834 0.9669
La1 La 0.2624 0.7624 0.5247
W1 W 0.0307 0.0307 0.0614
W2 W 0.7235 0.2235 0.4470
```

Calculated values
ρ	14765	kg/m³
space-group type	Imm2 (44)
excess energy over the best structure of this formula in the dataset	8.4	meV/atom
DFT formation energy	581	meV per atom


(4)
Computed, not measured: a PBEsol-optimized structure of LaW2Au at the meta-GGA SCAN level of DFT.

```
data_LaW2Au
_chemical_formula_sum 'La1 W2 Au1'
_symmetry_space_group_name_H-M 'P 1'
_symmetry_Int_Tables_number 1
_cell_length_a 2.7812
_cell_length_b 4.6023
_cell_length_c 6.6486
_cell_angle_alpha 93.81
_cell_angle_beta 90.00
_cell_angle_gamma 107.59
loop_
_symmetry_equiv_pos_as_xyz
'x,y,z'
loop_
_atom_site_label
_atom_site_type_symbol
_atom_site_fract_x
_atom_site_fract_y
_atom_site_fract_z
Au1 Au 0.5056 0.0113 0.5517
La1 La 0.7562 0.5123 0.2377
W1 W 0.9969 0.9939 0.9443
W2 W 0.2413 0.4825 0.7663
```

Calculated values
ρ	14436	kg/m³
space-group type	Cm (8)
excess energy over the best structure of this formula in the dataset	0.0	meV/atom
DFT formation energy	572	meV per atom


(5)
Computed, not measured: a PBEsol-optimized structure of La2YAu at the meta-GGA SCAN level of DFT.

```
data_La2YAu
_chemical_formula_sum 'La2 Y1 Au1'
_symmetry_space_group_name_H-M 'P 1'
_symmetry_Int_Tables_number 1
_cell_length_a 3.6422
_cell_length_b 3.6422
_cell_length_c 8.5557
_cell_angle_alpha 90.00
_cell_angle_beta 90.00
_cell_angle_gamma 90.00
loop_
_symmetry_equiv_pos_as_xyz
'x,y,z'
loop_
_atom_site_label
_atom_site_type_symbol
_atom_site_fract_x
_atom_site_fract_y
_atom_site_fract_z
Y1 Y 0.0000 0.0000 0.5508
Au1 Au 0.5000 0.5000 0.7310
La1 La 0.0000 0.0000 0.9618
La2 La 0.5000 0.5000 0.2564
```

Calculated values
ρ	8247	kg/m³
space-group type	P4mm (99)
excess energy over the best structure of this formula in the dataset	0.0	meV/atom
DFT formation energy	-514	meV per atom


(6)
Computed, not measured: a PBEsol-optimized structure of LaY2Au2 at the meta-GGA SCAN level of DFT.

```
data_LaY2Au2
_chemical_formula_sum 'La2 Y4 Au4'
_symmetry_space_group_name_H-M 'P 1'
_symmetry_Int_Tables_number 1
_cell_length_a 3.7928
_cell_length_b 8.1506
_cell_length_c 8.1506
_cell_angle_alpha 90.00
_cell_angle_beta 90.00
_cell_angle_gamma 90.00
loop_
_symmetry_equiv_pos_as_xyz
'x,y,z'
loop_
_atom_site_label
_atom_site_type_symbol
_atom_site_fract_x
_atom_site_fract_y
_atom_site_fract_z
Y1 Y 0.5000 0.1618 0.6618
Y2 Y 0.5000 0.6618 0.8382
Y3 Y 0.5000 0.8382 0.3382
Y4 Y 0.5000 0.3382 0.1618
Au1 Au 0.0000 0.3720 0.8720
Au2 Au 0.0000 0.8720 0.6280
Au3 Au 0.0000 0.6280 0.1280
Au4 Au 0.0000 0.1280 0.3720
La1 La 0.0000 0.0000 0.0000
La2 La 0.0000 0.5000 0.5000
```

Calculated values
ρ	9367	kg/m³
space-group type	P4/mbm (127)
DFT formation energy	-891	meV per atom


(7)
Computed, not measured: a PBEsol-optimized structure of LaY2Au at the meta-GGA SCAN level of DFT.

```
data_LaY2Au
_chemical_formula_sum 'La1 Y2 Au1'
_symmetry_space_group_name_H-M 'P 1'
_symmetry_Int_Tables_number 1
_cell_length_a 4.5568
_cell_length_b 4.5568
_cell_length_c 5.9230
_cell_angle_alpha 112.62
_cell_angle_beta 112.62
_cell_angle_gamma 90.00
loop_
_symmetry_equiv_pos_as_xyz
'x,y,z'
loop_
_atom_site_label
_atom_site_type_symbol
_atom_site_fract_x
_atom_site_fract_y
_atom_site_fract_z
Au1 Au 0.5000 0.5000 0.0000
La1 La 0.2500 0.7500 0.5000
Y1 Y 0.0000 0.0000 0.0000
Y2 Y 0.7500 0.2500 0.5000
```

Calculated values
ρ	8266	kg/m³
space-group type	I-4m2 (119)
excess energy over the best structure of this formula in the dataset	205.0	meV/atom
DFT formation energy	-333	meV per atom


(8)
Computed, not measured: a PBEsol-optimized structure of LaYAu2 at the meta-GGA SCAN level of DFT.

```
data_LaYAu2
_chemical_formula_sum 'La1 Y1 Au2'
_symmetry_space_group_name_H-M 'P 1'
_symmetry_Int_Tables_number 1
_cell_length_a 3.5760
_cell_length_b 3.5760
_cell_length_c 7.4356
_cell_angle_alpha 90.00
_cell_angle_beta 90.00
_cell_angle_gamma 90.00
loop_
_symmetry_equiv_pos_as_xyz
'x,y,z'
loop_
_atom_site_label
_atom_site_type_symbol
_atom_site_fract_x
_atom_site_fract_y
_atom_site_fract_z
Y1 Y 0.5000 0.5000 0.0000
Au1 Au 0.0000 0.0000 0.2223
Au2 Au 0.0000 0.0000 0.7777
La1 La 0.5000 0.5000 0.5000
```

Calculated values
ρ	10858	kg/m³
space-group type	P4/mmm (123)
DFT formation energy	-1064	meV per atom


(9)
Computed, not measured: a PBEsol-optimized structure of La2YAu at the meta-GGA SCAN level of DFT.

```
data_La2YAu
_chemical_formula_sum 'La2 Y1 Au1'
_symmetry_space_group_name_H-M 'P 1'
_symmetry_Int_Tables_number 1
_cell_length_a 3.7605
_cell_length_b 3.7605
_cell_length_c 10.2678
_cell_angle_alpha 79.45
_cell_angle_beta 79.45
_cell_angle_gamma 60.00
loop_
_symmetry_equiv_pos_as_xyz
'x,y,z'
loop_
_atom_site_label
_atom_site_type_symbol
_atom_site_fract_x
_atom_site_fract_y
_atom_site_fract_z
Au1 Au 0.0000 0.0000 0.0000
La1 La 0.2620 0.2620 0.2141
La2 La 0.7380 0.7380 0.7859
Y1 Y 0.5000 0.5000 0.5000
```

Calculated values
ρ	7616	kg/m³
space-group type	R-3m (166)
excess energy over the best structure of this formula in the dataset	150.5	meV/atom
DFT formation energy	-363	meV per atom


(10)
Computed, not measured: a PBEsol-optimized structure of LaYAu2 at the meta-GGA SCAN level of DFT.

```
data_LaYAu2
_chemical_formula_sum 'La1 Y1 Au2'
_symmetry_space_group_name_H-M 'P 1'
_symmetry_Int_Tables_number 1
_cell_length_a 4.3833
_cell_length_b 4.3833
_cell_length_c 5.6462
_cell_angle_alpha 112.84
_cell_angle_beta 112.84
_cell_angle_gamma 90.00
loop_
_symmetry_equiv_pos_as_xyz
'x,y,z'
loop_
_atom_site_label
_atom_site_type_symbol
_atom_site_fract_x
_atom_site_fract_y
_atom_site_fract_z
Au1 Au 0.0000 0.0000 0.0000
Au2 Au 0.7500 0.2500 0.5000
La1 La 0.5000 0.5000 0.0000
Y1 Y 0.2500 0.7500 0.5000
```

Calculated values
ρ	11386	kg/m³
space-group type	I-4m2 (119)
DFT formation energy	-770	meV per atom


(11)
Computed, not measured: a PBEsol-optimized structure of La2YAu at the meta-GGA SCAN level of DFT.

```
data_La2YAu
_chemical_formula_sum 'La2 Y1 Au1'
_symmetry_space_group_name_H-M 'P 1'
_symmetry_Int_Tables_number 1
_cell_length_a 4.5748
_cell_length_b 4.5748
_cell_length_c 6.0195
_cell_angle_alpha 112.33
_cell_angle_beta 112.33
_cell_angle_gamma 90.00
loop_
_symmetry_equiv_pos_as_xyz
'x,y,z'
loop_
_atom_site_label
_atom_site_type_symbol
_atom_site_fract_x
_atom_site_fract_y
_atom_site_fract_z
Au1 Au 0.0000 0.0000 0.0000
La1 La 0.7500 0.2500 0.5000
La2 La 0.2500 0.7500 0.5000
Y1 Y 0.5000 0.5000 0.0000
```

Calculated values
ρ	8810	kg/m³
space-group type	I4/mmm (139)
excess energy over the best structure of this formula in the dataset	152.2	meV/atom
DFT formation energy	-361	meV per atom


(12)
Computed, not measured: a PBEsol-optimized structure of La2YAu at the meta-GGA SCAN level of DFT.

```
data_La2YAu
_chemical_formula_sum 'La2 Y1 Au1'
_symmetry_space_group_name_H-M 'P 1'
_symmetry_Int_Tables_number 1
_cell_length_a 3.7266
_cell_length_b 5.5127
_cell_length_c 6.5085
_cell_angle_alpha 114.71
_cell_angle_beta 106.64
_cell_angle_gamma 90.00
loop_
_symmetry_equiv_pos_as_xyz
'x,y,z'
loop_
_atom_site_label
_atom_site_type_symbol
_atom_site_fract_x
_atom_site_fract_y
_atom_site_fract_z
Y1 Y 0.4597 0.4542 0.9194
Au1 Au 0.7592 0.2691 0.5185
La1 La 0.0331 0.0272 0.0663
La2 La 0.2479 0.7494 0.4958
```

Calculated values
ρ	8120	kg/m³
space-group type	Cm (8)
excess energy over the best structure of this formula in the dataset	9.7	meV/atom
DFT formation energy	-504	meV per atom


no.,size of the total moment (Bohr magnetons per cell)
1,0.00
2,0.00
3,0.00
4,0.00
5,0.00
6,0.00
7,0.00
8,0.00
9,0.00
10,0.00
11,0.00
12,0.00